(1)
An optimized crystal structure of Mn2ClF. Source: Alexandria via LeMat-Bulk, functional GGA+U. Values from VASP.

Its energy is -5.026 eV per atom. Its space group is Fm-3m. Its relative energy among the computed polymorphs is 0.3595 eV per atom. The calculation puts the magnetization at 10.0 μB per formula unit.

Quantum ESPRESSO input file:
```
&SYSTEM
  ibrav = 0, nat = 4, ntyp = 3
/
ATOMIC_SPECIES
Mn 54.94 Mn.upf
F 19.00 F.upf
Cl 35.45 Cl.upf
ATOMIC_POSITIONS crystal
Mn 0.750 0.750 0.750
Mn 0.250 0.250 0.250
F 0.000 0.000 0.000
Cl 0.500 0.500 0.500
CELL_PARAMETERS angstrom
0.000 3.314 3.314
3.314 0.000 3.314
3.314 3.314 0.000
```

(2)
An optimized crystal structure of MnClF3. Source: Alexandria via LeMat-Bulk, functional GGA+U. Values from VASP.

Its energy is -3.417 eV per atom. Its space group is Pm-3m. Its relative energy among the computed polymorphs is 1.2897 eV per atom. The calculation puts the magnetization at 5.5 μB per formula unit.

Quantum ESPRESSO input file:
```
&SYSTEM
  ibrav = 0, nat = 5, ntyp = 3
/
ATOMIC_SPECIES
F 19.00 F.upf
Cl 35.45 Cl.upf
Mn 54.94 Mn.upf
ATOMIC_POSITIONS crystal
F 0.000 0.500 0.000
F 0.000 0.000 0.500
F 0.500 0.000 0.000
Cl 0.000 0.000 0.000
Mn 0.500 0.500 0.500
CELL_PARAMETERS angstrom
4.418 0.000 0.000
0.000 4.418 0.000
0.000 0.000 4.418
```

(3)
An optimized crystal structure of Mn3ClF5. Source: Alexandria via LeMat-Bulk, functional GGA+U. Values from VASP.

Its energy is -6.157 eV per atom. Its space group is Cmmm. Its relative energy among the computed polymorphs is 0.0000 eV per atom. The calculation puts the magnetization at 15.0 μB per formula unit.

Quantum ESPRESSO input file:
```
&SYSTEM
  ibrav = 0, nat = 18, ntyp = 3
/
ATOMIC_SPECIES
F 19.00 F.upf
Mn 54.94 Mn.upf
Cl 35.45 Cl.upf
ATOMIC_POSITIONS crystal
F 0.000 0.304 0.000
F 0.000 0.362 0.346
F 0.000 0.638 0.654
F 0.500 0.258 0.515
F 0.500 0.937 0.873
F 0.500 0.742 0.485
F 0.000 0.983 0.346
F 0.000 0.696 0.000
F 0.500 0.063 0.127
F 0.000 0.017 0.654
Mn 0.500 0.500 0.000
Mn 0.500 0.840 0.680
Mn 0.000 0.688 0.375
Mn 0.000 0.000 0.000
Mn 0.000 0.312 0.625
Mn 0.500 0.160 0.320
Cl 0.500 0.393 0.785
Cl 0.500 0.607 0.215
CELL_PARAMETERS angstrom
3.434 0.000 0.000
0.000 6.562 -2.269
0.000 0.431 11.871
```

(4)
An optimized crystal structure of Mn3ClF. Source: Alexandria via LeMat-Bulk, functional GGA+U. Values from VASP.

Its energy is -5.182 eV per atom. Its space group is Pm-3m. Its relative energy among the computed polymorphs is 0.0000 eV per atom. The calculation puts the magnetization at 14.5 μB per formula unit.

Quantum ESPRESSO input file:
```
&SYSTEM
  ibrav = 0, nat = 5, ntyp = 3
/
ATOMIC_SPECIES
Cl 35.45 Cl.upf
Mn 54.94 Mn.upf
F 19.00 F.upf
ATOMIC_POSITIONS crystal
Cl 0.500 0.500 0.500
Mn 0.000 0.500 0.000
Mn 0.500 0.000 0.000
Mn 0.000 0.000 0.500
F 0.000 0.000 0.000
CELL_PARAMETERS angstrom
4.749 0.000 0.000
0.000 4.749 0.000
0.000 0.000 4.749
```

(5)
An optimized crystal structure of MnCl2F. Source: Alexandria via LeMat-Bulk, functional GGA+U. Values from VASP.

Its energy is -4.540 eV per atom. Its space group is I-42d. Its relative energy among the computed polymorphs is 0.1060 eV per atom. The calculation puts the magnetization at 4.0 μB per formula unit.

Quantum ESPRESSO input file:
```
&SYSTEM
  ibrav = 0, nat = 8, ntyp = 3
/
ATOMIC_SPECIES
Cl 35.45 Cl.upf
Mn 54.94 Mn.upf
F 19.00 F.upf
ATOMIC_POSITIONS crystal
Cl 0.783 0.125 0.250
Cl 0.375 0.217 0.750
Cl 0.967 0.625 0.250
Cl 0.875 0.033 0.750
Mn 0.750 0.250 0.500
Mn 0.000 0.000 0.000
F 0.250 0.750 0.500
F 0.500 0.500 0.000
CELL_PARAMETERS angstrom
9.143 0.000 0.000
0.000 9.143 0.000
4.572 4.572 1.970
```

(6)
An optimized crystal structure of Mn5Cl3F12. Source: Alexandria via LeMat-Bulk, functional GGA+U. Values from VASP.

Its energy is -5.087 eV per atom. Its space group is Ia-3d. The calculation puts the magnetization at 25.9 μB per formula unit.

Quantum ESPRESSO input file:
```
&SYSTEM
  ibrav = 0, nat = 80, ntyp = 3
/
ATOMIC_SPECIES
F 19.00 F.upf
Mn 54.94 Mn.upf
Cl 35.45 Cl.upf
ATOMIC_POSITIONS crystal
F 0.927 0.326 0.513
F 0.573 0.987 0.174
F 0.987 0.415 0.813
F 0.513 0.826 0.927
F 0.313 0.487 0.415
F 0.102 0.187 0.174
F 0.427 0.415 0.102
F 0.073 0.398 0.085
F 0.585 0.573 0.398
F 0.398 0.326 0.313
F 0.898 0.813 0.826
F 0.415 0.427 0.602
F 0.602 0.927 0.415
F 0.326 0.927 0.013
F 0.102 0.915 0.427
F 0.826 0.513 0.427
F 0.915 0.813 0.487
F 0.573 0.585 0.898
F 0.398 0.073 0.585
F 0.415 0.987 0.313
F 0.898 0.085 0.573
F 0.674 0.073 0.987
F 0.085 0.187 0.513
F 0.313 0.826 0.398
F 0.687 0.174 0.602
F 0.813 0.915 0.987
F 0.174 0.487 0.573
F 0.085 0.898 0.073
F 0.927 0.602 0.915
F 0.487 0.174 0.073
F 0.826 0.313 0.898
F 0.987 0.573 0.674
F 0.013 0.585 0.187
F 0.487 0.313 0.915
F 0.687 0.513 0.585
F 0.073 0.674 0.487
F 0.326 0.398 0.813
F 0.674 0.602 0.187
F 0.187 0.102 0.674
F 0.427 0.013 0.826
F 0.013 0.427 0.326
F 0.174 0.687 0.102
F 0.513 0.687 0.085
F 0.813 0.898 0.326
F 0.585 0.013 0.687
F 0.915 0.102 0.927
F 0.187 0.085 0.013
F 0.602 0.674 0.687
Mn 0.000 0.000 0.000
Mn 0.500 0.500 0.500
Mn 0.375 0.125 0.750
Mn 0.500 0.000 0.000
Mn 0.125 0.750 0.375
Mn 0.000 0.000 0.500
Mn 0.750 0.125 0.875
Mn 0.125 0.375 0.250
Mn 0.000 0.500 0.000
Mn 0.250 0.875 0.125
Mn 0.375 0.250 0.125
Mn 0.875 0.625 0.750
Mn 0.500 0.500 0.000
Mn 0.250 0.375 0.625
Mn 0.625 0.875 0.250
Mn 0.875 0.250 0.625
Mn 0.000 0.500 0.500
Mn 0.500 0.000 0.500
Mn 0.625 0.750 0.875
Mn 0.750 0.625 0.375
Cl 0.250 0.625 0.875
Cl 0.625 0.250 0.375
Cl 0.750 0.875 0.625
Cl 0.375 0.625 0.250
Cl 0.875 0.125 0.250
Cl 0.125 0.250 0.875
Cl 0.625 0.375 0.750
Cl 0.375 0.750 0.625
Cl 0.125 0.875 0.750
Cl 0.750 0.375 0.125
Cl 0.250 0.125 0.375
Cl 0.875 0.750 0.125
CELL_PARAMETERS angstrom
-8.621 5.779 -5.885
-3.519 -11.178 2.242
2.236 5.606 10.293
```

(7)
An optimized crystal structure of MnNClF2. Source: Alexandria via LeMat-Bulk, functional GGA+U. Values from VASP.

Its energy is -4.003 eV per atom. Its space group is P4/mmm. Its relative energy among the computed polymorphs is 0.7393 eV per atom. The calculation puts the magnetization at 5.3 μB per formula unit.

Quantum ESPRESSO input file:
```
&SYSTEM
  ibrav = 0, nat = 5, ntyp = 4
/
ATOMIC_SPECIES
Cl 35.45 Cl.upf
F 19.00 F.upf
Mn 54.94 Mn.upf
N 14.01 N.upf
ATOMIC_POSITIONS crystal
Cl 0.000 0.000 0.000
F 0.500 0.000 0.000
F 0.000 0.500 0.000
Mn 0.500 0.500 0.500
N 0.000 0.000 0.500
CELL_PARAMETERS angstrom
4.795 0.000 0.000
0.000 4.795 0.000
0.000 0.000 3.364
```

(8)
An optimized crystal structure of MnN2ClF. Source: Alexandria via LeMat-Bulk, functional GGA+U. Values from VASP.

Its energy is -4.871 eV per atom. Its space group is P4/mmm. Its relative energy among the computed polymorphs is 0.0000 eV per atom. The calculation puts the magnetization at 0.3 μB per formula unit.

Quantum ESPRESSO input file:
```
&SYSTEM
  ibrav = 0, nat = 5, ntyp = 4
/
ATOMIC_SPECIES
F 19.00 F.upf
N 14.01 N.upf
Cl 35.45 Cl.upf
Mn 54.94 Mn.upf
ATOMIC_POSITIONS crystal
F 0.000 0.000 0.500
N 0.000 0.500 0.000
N 0.500 0.000 0.000
Cl 0.500 0.500 0.500
Mn 0.000 0.000 0.000
CELL_PARAMETERS angstrom
4.062 0.000 0.000
0.000 4.062 0.000
0.000 0.000 3.939
```

(9)
An optimized crystal structure of MnNClF2. Source: Alexandria via LeMat-Bulk, functional GGA+U. Values from VASP.

Its energy is -4.743 eV per atom. Its space group is P4/mmm. Its relative energy among the computed polymorphs is 0.0000 eV per atom. The calculation puts the magnetization at 2.8 μB per formula unit.

Quantum ESPRESSO input file:
```
&SYSTEM
  ibrav = 0, nat = 5, ntyp = 4
/
ATOMIC_SPECIES
Cl 35.45 Cl.upf
F 19.00 F.upf
Mn 54.94 Mn.upf
N 14.01 N.upf
ATOMIC_POSITIONS crystal
Cl 0.500 0.500 0.500
F 0.000 0.500 0.000
F 0.500 0.000 0.000
Mn 0.000 0.000 0.000
N 0.000 0.000 0.500
CELL_PARAMETERS angstrom
3.863 0.000 0.000
0.000 3.863 0.000
0.000 0.000 4.528
```

(10)
An optimized crystal structure of MnN2ClF. Source: Alexandria via LeMat-Bulk, functional GGA+U. Values from VASP.

Its energy is -4.206 eV per atom. Its space group is P4/mmm. Its relative energy among the computed polymorphs is 0.6646 eV per atom. The calculation puts the magnetization at 5.5 μB per formula unit.

Quantum ESPRESSO input file:
```
&SYSTEM
  ibrav = 0, nat = 5, ntyp = 4
/
ATOMIC_SPECIES
Cl 35.45 Cl.upf
F 19.00 F.upf
Mn 54.94 Mn.upf
N 14.01 N.upf
ATOMIC_POSITIONS crystal
Cl 0.000 0.000 0.000
F 0.000 0.000 0.500
Mn 0.500 0.500 0.500
N 0.000 0.500 0.000
N 0.500 0.000 0.000
CELL_PARAMETERS angstrom
-2.986 1.730 -0.831
0.153 -1.317 -3.293
-2.686 -3.940 1.451
```

(11)
An optimized crystal structure of MnPCl2F. Source: Alexandria via LeMat-Bulk, functional GGA+U. Values from VASP.

Its energy is -3.773 eV per atom. Its space group is P4/mmm. Its relative energy among the computed polymorphs is 0.2747 eV per atom. The calculation puts the magnetization at 2.8 μB per formula unit.

Quantum ESPRESSO input file:
```
&SYSTEM
  ibrav = 0, nat = 5, ntyp = 4
/
ATOMIC_SPECIES
P 30.97 P.upf
Cl 35.45 Cl.upf
Mn 54.94 Mn.upf
F 19.00 F.upf
ATOMIC_POSITIONS crystal
P 0.000 0.000 0.500
Cl 0.000 0.500 0.000
Cl 0.500 0.000 0.000
Mn 0.000 0.000 0.000
F 0.500 0.500 0.500
CELL_PARAMETERS angstrom
-3.682 -0.286 -2.816
2.720 -1.635 -3.391
-0.871 -4.825 1.628
```

(12)
An optimized crystal structure of MnPCl2F. Source: Alexandria via LeMat-Bulk, functional GGA+U. Values from VASP.

Its energy is -4.048 eV per atom. Its space group is P4/mmm. Its relative energy among the computed polymorphs is 0.0000 eV per atom. The calculation puts the magnetization at 5.0 μB per formula unit.

Quantum ESPRESSO input file:
```
&SYSTEM
  ibrav = 0, nat = 5, ntyp = 4
/
ATOMIC_SPECIES
Mn 54.94 Mn.upf
Cl 35.45 Cl.upf
P 30.97 P.upf
F 19.00 F.upf
ATOMIC_POSITIONS crystal
Mn 0.000 0.500 0.000
Cl 0.500 0.000 0.000
Cl 0.000 0.000 0.500
P 0.000 0.000 0.000
F 0.500 0.500 0.500
CELL_PARAMETERS angstrom
-3.985 2.247 -0.387
-0.587 -1.856 -4.731
-2.218 -3.640 1.704
```